Here is a relaxed structure of YErPI2 from OQMD via LeMat-Bulk. Energies are from PBE-GGA.

Output
The value obtained for the total energy is -5.425 eV per atom. The space group is P3m1 (156).

Lattice parameters (Å, degrees): 4.086 4.086 10.763 90.00 90.00 120.00
Element x y z (fractional)
1 Y 0.000 0.000 0.000
2 Er 0.667 0.333 0.726
3 P 0.333 0.667 0.861
4 I 0.000 0.000 0.538
5 I 0.667 0.333 0.191